(1)
Compound: TcAg5
Source: Alexandria
Functional: GGA-PBEsol
Structure: optimized geometry

Computed properties:
V	110.02	Å³/cell
N(E_F)	0.666	states/eV per atom
offset from the most stable computed form	0.4348	eV/atom
total moment	0.58	μB/atom
E_form	0.757	eV/atom

Cell: 5.2282 5.2282 4.6478 Å, 90.00 90.00 120.00°
With the nearest neighbours (Å) after each atom.
Space group P6/mmm (No. 191)
Asymmetric unit:
Tc (0.0000, 0.0000, 0.0000) [1 per cell]  6 Ag 3.02
Ag (0.0000, 0.5000, 0.5000) [3 per cell]  8 Ag 2.61-2.77
Ag (0.3333, 0.6667, 0.0000) [2 per cell]  9 Ag 2.77-3.02, 3 Tc 3.02

---

(2)
Compound: YAgIr
Source: Alexandria
Functional: GGA-PBEsol
Structure: optimized geometry

Computed properties:
V	264.67	Å³/cell
N(E_F)	1.039	states/eV per atom
offset from the most stable computed form	0.1659	eV/atom
total moment	0.00	μB/atom
E_form	-0.075	eV/atom

Cell: 6.4205 6.4205 6.4205 Å, 90.00 90.00 90.00°
With the nearest neighbours (Å) after each atom.
Space group F-43m (No. 216)
Asymmetric unit:
Y (0.0000, 0.0000, 0.0000) [4 per cell]  4 Ir 2.78
Ag (0.0000, 0.0000, 0.5000) [4 per cell]  4 Ir 2.78
Ir (0.2500, 0.2500, 0.7500) [4 per cell]  4 Y 2.78, 4 Ag 2.78

---

(3)
Compound: Ce3Al4Si6
Source: Alexandria
Functional: GGA-PBEsol
Structure: optimized geometry

Computed properties:
V	258.08	Å³/cell
N(E_F)	1.131	states/eV per atom
energy relative to the elements, uncorrected	-0.43	eV per atom
total moment	0.09	μB/atom

Cell: 4.1298 4.1298 17.4731 Å, 90.00 90.00 120.00°
With the nearest neighbours (Å) after each atom.
Space group P-3m1 (No. 164)
Asymmetric unit:
Ce (0.0000, 0.0000, 0.0000) [1 per cell]  6 Si 2.97
Ce (0.0000, 0.0000, 0.3907) [2 per cell]  9 Si 3.00-3.08
Al (0.3333, 0.6667, 0.2474) [2 per cell]  4 Si 2.48-2.56
Al (0.3333, 0.6667, 0.8600) [2 per cell]  4 Si 2.48-2.56
Si (0.3333, 0.6667, 0.1009) [2 per cell]  4 Al 2.48-2.56
Si (0.3333, 0.6667, 0.4980) [2 per cell]  3 Si 2.39
Si (0.3333, 0.6667, 0.7137) [2 per cell]  4 Al 2.48-2.56

---

Repeat the first record exactly.
Compound: TcAg5
Source: Alexandria
Functional: GGA-PBEsol
Structure: optimized geometry

Computed properties:
V	110.02	Å³/cell
N(E_F)	0.666	states/eV per atom
offset from the most stable computed form	0.4348	eV/atom
total moment	0.58	μB/atom
E_form	0.757	eV/atom

Cell: 5.2282 5.2282 4.6478 Å, 90.00 90.00 120.00°
With the nearest neighbours (Å) after each atom.
Space group P6/mmm (No. 191)
Asymmetric unit:
Tc (0.0000, 0.0000, 0.0000) [1 per cell]  6 Ag 3.02
Ag (0.0000, 0.5000, 0.5000) [3 per cell]  8 Ag 2.61-2.77
Ag (0.3333, 0.6667, 0.0000) [2 per cell]  9 Ag 2.77-3.02, 3 Tc 3.02